La4SiICl2 | PBE-GGA | optimized geometry

Cell: 4.3178 7.2330 7.9245 Å, 70.89 90.00 90.00°
Positions (direct):
La  0.0000  0.2301  0.2910
Cl  0.5000  0.0000  0.5000
Si  0.0000  0.5000  0.5000
Cl  0.0000  0.0000  0.0000
La  0.5000  0.2522  0.7157
La  0.5000  0.7478  0.2843
I  0.5000  0.5000  0.0000
La  0.0000  0.7699  0.7090

Values from the calculation:
VASP energy   -40.607 eV per cell
Raw formation energy   -1.279 eV/atom
Mass density   5.55 g cm⁻³
Total magnetic moment   0.00 Bohr magnetons per cell

La6Si2I3Cl | PBE-GGA | optimized geometry

Cell: 7.5426 7.5426 8.2112 Å, 98.82 98.82 120.05°
Positions (direct):
Si  0.6664  0.3336  0.0000
I  0.5000  0.5000  0.5000
La  0.9335  0.5943  0.7999
Si  0.3336  0.6664  0.0000
I  0.1679  0.8321  0.5000
I  0.8321  0.1679  0.5000
La  0.0665  0.4057  0.2001
Cl  0.0000  0.0000  0.0000
La  0.7283  0.7283  0.1996
La  0.5943  0.9335  0.7999
La  0.2717  0.2717  0.8004
La  0.4057  0.0665  0.2001

Values from the calculation:
VASP energy   -60.533 eV per cell
Raw formation energy   -1.135 eV/atom
Mass density   5.63 g cm⁻³
Total magnetic moment   0.00 Bohr magnetons per cell

La8Si3I4Cl | PBE-GGA | optimized geometry

Cell: 8.7651 9.2951 8.7668 Å, 118.15 119.99 90.00°
Positions (direct):
La  0.2370  0.7000  0.4739
La  0.2740  0.3002  0.0371
I  0.5000  0.0000  0.5000
Si  0.5000  0.5000  0.5000
La  0.2664  0.2991  0.5327
La  0.7630  0.3000  0.5261
I  0.0000  0.0000  0.5000
I  0.0000  0.0000  0.0000
La  0.7260  0.6998  0.9629
La  0.7336  0.7009  0.4673
Si  0.5000  0.5000  0.0000
I  0.5000  0.0000  0.0000
Cl  0.0000  0.5000  0.0000
La  0.2370  0.6998  0.9629
Si  0.0000  0.5000  0.5000
La  0.7630  0.3002  0.0371

Values from the calculation:
VASP energy   -81.418 eV per cell
Raw formation energy   -1.105 eV/atom
Mass density   5.57 g cm⁻³
Total magnetic moment   0.00 Bohr magnetons per cell

La4SiI2Cl | PBE-GGA | optimized geometry

Cell: 4.3442 7.3045 8.3084 Å, 108.11 90.00 90.00°
Positions (direct):
I  0.5000  0.0000  0.5000
La  0.5000  0.2355  0.2012
La  0.0000  0.7331  0.1996
I  0.0000  0.5000  0.5000
La  0.5000  0.7645  0.7988
Si  0.0000  0.0000  0.0000
Cl  0.5000  0.5000  0.0000
La  0.0000  0.2669  0.8004

Values from the calculation:
VASP energy   -39.407 eV per cell
Raw formation energy   -1.166 eV/atom
Mass density   5.78 g cm⁻³
Total magnetic moment   0.00 Bohr magnetons per cell

LaTaICl2 | PBE-GGA | optimized geometry

Cell: 5.4357 6.4543 5.4357 Å, 90.00 90.00 90.00°
Site moments in Bohr magnetons follow the coordinates.
Positions (direct):
Cl  0.5000  0.0000  0.0000  0.02
La  0.0000  0.0000  0.0000  0.11
Ta  0.5000  0.5000  0.5000  2.56
I  0.0000  0.5000  0.0000  0.03
Cl  0.0000  0.0000  0.5000  0.02

Values from the calculation:
VASP energy   -22.484 eV per cell
Raw formation energy   -0.092 eV/atom
Mass density   4.51 g cm⁻³
Total magnetic moment   4.55 Bohr magnetons per cell

La4TcI2Cl | PBE-GGA | optimized geometry

Cell: 4.2331 8.3676 7.6111 Å, 74.57 90.00 90.00°
Positions (direct):
La  0.0000  0.3060  0.2600
La  0.5000  0.3063  0.7117
La  0.0000  0.6941  0.7400
I  0.5000  0.0000  0.5000
Cl  0.5000  0.5000  0.0000
Tc  0.0000  0.5000  0.5000
I  0.0000  0.0000  0.0000
La  0.5000  0.6937  0.2883

Values from the calculation:
VASP energy   -42.427 eV per cell
Raw formation energy   -0.925 eV/atom
Mass density   6.02 g cm⁻³
Total magnetic moment   0.00 Bohr magnetons per cell

La4TcICl2 | PBE-GGA | optimized geometry

Cell: 4.1737 7.3676 8.2358 Å, 73.08 90.00 90.00°
Positions (direct):
La  0.0000  0.2542  0.3051
Cl  0.5000  0.0000  0.5000
La  0.5000  0.2688  0.7089
La  0.0000  0.7458  0.6949
I  0.5000  0.5000  0.0000
Cl  0.0000  0.0000  0.0000
La  0.5000  0.7312  0.2911
Tc  0.0000  0.5000  0.5000

Values from the calculation:
VASP energy   -43.450 eV per cell
Raw formation energy   -1.016 eV/atom
Mass density   5.84 g cm⁻³
Total magnetic moment   0.00 Bohr magnetons per cell

LaTeI2Cl | PBE-GGA | optimized geometry

Cell: 5.9364 5.9364 5.1844 Å, 90.00 90.00 90.00°
Site moments in Bohr magnetons follow the coordinates.
Positions (direct):
I  0.0000  0.5000  0.0000  -0.01
I  0.5000  0.0000  0.0000  -0.01
La  0.5000  0.5000  0.5000  0.27
Cl  0.0000  0.0000  0.0000  0.00
Te  0.0000  0.0000  0.5000  -0.01

Values from the calculation:
Energy above the most stable polymorph in this dataset   0.428 eV per atom
VASP energy   -14.064 eV per cell
Raw formation energy   -0.210 eV/atom
Mass density   5.05 g cm⁻³
Total magnetic moment   0.31 Bohr magnetons per cell

LaTeI2Cl | PBE-GGA | optimized geometry

Cell: 6.1661 6.1661 6.5831 Å, 90.00 90.00 90.00°
Site moments in Bohr magnetons follow the coordinates.
Positions (direct):
La  0.0000  0.0000  0.0000  -0.01
I  0.5000  0.0000  0.0000  0.04
Te  0.0000  0.0000  0.5000  0.71
Cl  0.5000  0.5000  0.5000  0.40
I  0.0000  0.5000  0.0000  0.04

Values from the calculation:
Energy above the most stable polymorph in this dataset   0.000 eV per atom
VASP energy   -16.203 eV per cell
Raw formation energy   -0.637 eV/atom
Mass density   3.69 g cm⁻³
Total magnetic moment   2.03 Bohr magnetons per cell

La3TlICl | PBE-GGA | optimized geometry

Cell: 4.3998 9.3617 12.2705 Å, 126.55 90.00 90.00°
Positions (direct):
Cl  0.7500  0.8110  0.4473
La  0.2500  0.0436  0.9012
Tl  0.7500  0.7047  0.7501
I  0.2500  0.7514  0.1640
La  0.7500  0.9564  0.0988
La  0.2500  0.6976  0.5315
I  0.7500  0.2486  0.8360
Tl  0.2500  0.2953  0.2499
Cl  0.2500  0.1890  0.5527
La  0.7500  0.3024  0.4685
La  0.7500  0.4829  0.1706
La  0.2500  0.5171  0.8294

Values from the calculation:
VASP energy   -53.156 eV per cell
Raw formation energy   -1.005 eV/atom
Mass density   6.41 g cm⁻³
Total magnetic moment   0.17 Bohr magnetons per cell

LaTl2I3Cl3 | PBE-GGA | optimized geometry

Cell: 4.1737 9.0333 9.0333 Å, 120.00 90.00 90.00°
Positions (direct):
I  0.0000  0.4112  0.0000
La  0.0000  0.0000  0.0000
I  0.0000  0.5888  0.5888
Cl  0.5000  0.7803  0.0000
Cl  0.5000  0.0000  0.7803
Tl  0.5000  0.3333  0.6667
I  0.0000  0.0000  0.4112
Tl  0.5000  0.6667  0.3333
Cl  0.5000  0.2197  0.2197

Values from the calculation:
VASP energy   -31.206 eV per cell
Raw formation energy   -1.262 eV/atom
Mass density   5.83 g cm⁻³
Total magnetic moment   0.00 Bohr magnetons per cell

La2VICl | PBE-GGA | optimized geometry

Cell: 5.9592 6.0185 5.9592 Å, 90.00 90.00 90.00°
Site moments in Bohr magnetons follow the coordinates.
Positions (direct):
La  0.0000  0.0000  0.5000  -0.07
La  0.5000  0.0000  0.0000  -0.07
V  0.5000  0.5000  0.5000  0.19
Cl  0.0000  0.5000  0.0000  0.01
I  0.0000  0.0000  0.0000  0.00

Values from the calculation:
VASP energy   -18.614 eV per cell
Raw formation energy   0.751 eV/atom
Mass density   3.82 g cm⁻³
Total magnetic moment   0.30 Bohr magnetons per cell

Density of states at the Fermi level, record by record: 0.6269 0.5233 0.5878 0.6551 1.0586 0.8611 0.8412 0.8748 0.9780 1.0247 0.6377 1.8351 states/eV per atom